1.
VASP calculation (PBE) on PaBRu2 after structural relaxation.

Cell lengths 3.699, 3.699, 5.600 Å; angles 70.71, 70.71, 60.00 degrees
Fractional coordinates of all 4 atoms:
Ru  0.779  0.779  0.664
Ru  0.221  0.221  0.336
B  0.500  0.500  0.500
Pa  0.000  0.000  0.000

For the raw total energy, the calculation gives -35.7 eV/cell. The value obtained for the magnetization is 0.00 μB per atom. Its space-group type is R-3m, No. 166. The calculation puts the distance to the lowest polymorph of the same formula at 124 meV per atom. Its density of states at the Fermi level is 1.899 states/eV/cell. The crystal system is trigonal. The calculated volume comes out at 61 Å³/cell.



2.
VASP calculation (PBE) on YAlNi after structural relaxation.

Cell lengths 8.048, 8.048, 3.011 Å; angles 90.00, 90.00, 120.00 degrees
Fractional coordinates of all 9 atoms:
Y  0.000  0.699  0.500
Y  0.301  0.301  0.500
Y  0.699  0.000  0.500
Al  0.667  0.333  0.500
Al  0.333  0.667  0.500
Al  0.000  0.000  0.000
Ni  0.000  0.381  0.000
Ni  0.619  0.619  0.000
Ni  0.381  0.000  0.000

For the raw total energy, the calculation gives -48.0 eV/cell. The value obtained for the magnetization is 0.00 μB per atom. Its space-group type is P-62m, No. 189. Its density of states at the Fermi level is 5.786 states/eV/cell. The crystal system is hexagonal. The calculated volume comes out at 169 Å³/cell.



3.
VASP calculation (PBE) on GaFeNi after structural relaxation.

Cell lengths 2.723, 2.723, 5.312 Å; angles 104.85, 104.85, 90.00 degrees
Last column: magnetic moment on the atom in μB.
Fractional coordinates of all 3 atoms:
Ni  0.950  0.950  0.901  0.37
Fe  0.612  0.612  0.224  2.48
Ga  0.288  0.288  0.575  -0.06

For the raw total energy, the calculation gives -17.7 eV/cell. The value obtained for the magnetization is 0.92 μB per atom. Its space-group type is I4mm, No. 107. Its density of states at the Fermi level is 2.394 states/eV/cell. The crystal system is tetragonal. The calculated volume comes out at 37 Å³/cell.



4.
VASP calculation (PBE) on CsCd3Rh after structural relaxation.

Cell lengths 13.418, 9.166, 9.166 Å; angles 92.11, 129.51, 50.49 degrees
Fractional coordinates of all 20 atoms:
Cs  0.750  0.994  0.494
Cs  0.250  0.006  0.506
Cs  0.750  0.506  0.006
Cs  0.250  0.494  0.994
Rh  0.162  0.423  0.577
Rh  0.338  0.077  0.923
Rh  0.838  0.577  0.423
Rh  0.662  0.923  0.077
Cd  0.338  0.558  0.442
Cd  0.162  0.942  0.058
Cd  0.662  0.442  0.558
Cd  0.838  0.058  0.942
Cd  0.001  0.394  0.853
Cd  0.499  0.353  0.894
Cd  0.999  0.606  0.147
Cd  0.501  0.647  0.106
Cd  0.499  0.106  0.647
Cd  0.001  0.147  0.606
Cd  0.501  0.894  0.353
Cd  0.999  0.853  0.394

For the raw total energy, the calculation gives -40.6 eV/cell. The value obtained for the magnetization is 0.00 μB per atom. Its space-group type is C2/m, No. 12. The calculation puts the distance to the lowest polymorph of the same formula at 257 meV per atom. Its density of states at the Fermi level is 9.035 states/eV/cell. The crystal system is monoclinic. The calculated volume comes out at 528 Å³/cell.



5.
VASP calculation (PBE) on BeAlPbC2 after structural relaxation.

Cell lengths 3.866, 5.866, 3.866 Å; angles 90.00, 90.00, 90.00 degrees
Fractional coordinates of all 5 atoms:
Pb  0.000  0.500  0.000
Be  0.500  0.500  0.500
C  0.000  0.000  0.500
C  0.500  0.000  0.000
Al  0.000  0.000  0.000

For the raw total energy, the calculation gives -20.0 eV/cell. The value obtained for the magnetization is 0.00 μB per atom. Its space-group type is P4/mmm, No. 123. Its density of states at the Fermi level is 2.720 states/eV/cell. The crystal system is tetragonal. The calculated volume comes out at 88 Å³/cell.



6.
VASP calculation (PBE) on K2MgCd3Bi4 after structural relaxation.

Cell lengths 5.239, 5.239, 12.248 Å; angles 90.00, 90.00, 90.00 degrees
Fractional coordinates of all 10 atoms:
K  0.500  0.000  0.243
K  0.000  0.500  0.757
Mg  0.500  0.500  0.500
Cd  0.000  0.000  0.500
Cd  0.500  0.000  0.868
Cd  0.000  0.500  0.132
Bi  0.500  0.500  0.000
Bi  0.000  0.000  0.000
Bi  0.500  0.000  0.627
Bi  0.000  0.500  0.373

For the raw total energy, the calculation gives -24.5 eV/cell. The value obtained for the magnetization is 0.00 μB per atom. Its space-group type is P-4m2, No. 115. Its density of states at the Fermi level is 2.757 states/eV/cell. The crystal system is tetragonal. The calculated volume comes out at 336 Å³/cell.



7.
VASP calculation (PBE) on Sm4TcPb after structural relaxation.

Cell lengths 6.322, 8.132, 8.132 Å; angles 113.68, 100.44, 100.44 degrees
Fractional coordinates of all 12 atoms:
Sm  0.878  0.648  0.795
Sm  0.053  0.942  0.277
Sm  0.622  0.205  0.352
Sm  0.447  0.723  0.058
Sm  0.553  0.277  0.942
Sm  0.378  0.795  0.648
Sm  0.947  0.058  0.723
Sm  0.122  0.352  0.205
Tc  0.250  0.001  0.999
Tc  0.750  0.999  0.001
Pb  0.750  0.626  0.374
Pb  0.250  0.374  0.626

For the raw total energy, the calculation gives -68.8 eV/cell. The value obtained for the magnetization is 0.00 μB per atom. Its space-group type is C2/c, No. 15. Its density of states at the Fermi level is 12.327 states/eV/cell. The crystal system is monoclinic. The calculated volume comes out at 361 Å³/cell.



8.
VASP calculation (PBE) on Ba3PHI after structural relaxation.

Cell lengths 4.668, 9.937, 10.083 Å; angles 102.05, 90.00, 90.00 degrees
Fractional coordinates of all 12 atoms:
Ba  0.250  0.800  0.467
Ba  0.750  0.877  0.139
Ba  0.750  0.456  0.172
Ba  0.750  0.200  0.533
Ba  0.250  0.544  0.828
Ba  0.250  0.123  0.861
P  0.250  0.672  0.152
P  0.750  0.328  0.848
H  0.250  0.078  0.587
H  0.750  0.922  0.413
I  0.750  0.831  0.775
I  0.250  0.169  0.225

For the raw total energy, the calculation gives -44.5 eV/cell. The value obtained for the magnetization is 0.00 μB per atom. Its space-group type is P2_1/m, No. 11. Its density of states at the Fermi level is 6.099 states/eV/cell. The crystal system is monoclinic. The calculated volume comes out at 457 Å³/cell.



9.
VASP calculation (PBE) on MgH12SO9 after structural relaxation.

Cell lengths 4.600, 7.287, 8.875 Å; angles 105.08, 107.51, 84.26 degrees
Fractional coordinates of all 23 atoms:
Mg  0.054  0.882  0.055
H  0.451  0.364  0.276
H  0.199  0.530  0.458
H  0.560  0.901  0.411
H  0.985  0.408  0.295
H  0.149  0.684  0.281
H  0.630  0.246  0.658
H  0.072  0.668  0.733
H  0.915  0.543  0.867
H  0.976  0.876  0.339
H  0.574  0.741  0.755
H  0.528  0.328  0.684
H  0.865  0.844  0.534
S  0.529  0.161  0.050
O  0.466  0.976  0.084
O  0.151  0.671  0.633
O  0.840  0.128  0.021
O  0.634  0.305  0.235
O  0.181  0.477  0.339
O  0.778  0.929  0.459
O  0.391  0.813  0.700
O  0.929  0.674  0.863
O  0.123  0.819  0.270

For the raw total energy, the calculation gives -114.0 eV/cell. The value obtained for the magnetization is 0.00 μB per atom. Its space-group type is P1, No. 1. The calculation puts the distance to the lowest polymorph of the same formula at 229 meV per atom. Its density of states at the Fermi level is 0.000 states/eV/cell. The crystal system is triclinic. The calculated volume comes out at 274 Å³/cell.



10.
VASP calculation (PBE) on Ce6Pt2Au after structural relaxation.

Cell lengths 4.614, 7.258, 7.779 Å; angles 117.81, 90.00, 90.00 degrees
Last column: magnetic moment on the atom in μB.
Fractional coordinates of all 9 atoms:
Ce  0.500  0.588  0.000  0.46
Ce  0.500  0.405  0.430  0.65
Ce  0.500  0.975  0.570  0.65
Ce  0.000  0.339  0.000  0.33
Ce  0.000  0.742  0.801  0.16
Ce  0.000  0.941  0.199  0.16
Pt  0.000  0.273  0.607  -0.02
Pt  0.000  0.666  0.393  -0.02
Au  0.500  0.071  0.000  0.00

For the raw total energy, the calculation gives -56.2 eV/cell. The value obtained for the magnetization is 0.31 μB per atom. Its space-group type is Amm2, No. 38. The calculation puts the distance to the lowest polymorph of the same formula at 23 meV per atom. Its density of states at the Fermi level is 24.497 states/eV/cell. The crystal system is orthorhombic. The calculated volume comes out at 230 Å³/cell.



11.
VASP calculation (PBE) on RbNaAuCl2 after structural relaxation.

Cell lengths 5.392, 5.416, 5.392 Å; angles 90.00, 90.00, 90.00 degrees
Fractional coordinates of all 5 atoms:
Na  0.000  0.000  0.000
Au  0.000  0.500  0.000
Rb  0.500  0.500  0.500
Cl  0.000  0.000  0.500
Cl  0.500  0.000  0.000

For the raw total energy, the calculation gives -13.4 eV/cell. The value obtained for the magnetization is 0.00 μB per atom. The uncorrected formation energy is -0.821 eV/atom. Its space-group type is P4/mmm, No. 123. Its density of states at the Fermi level is 7.051 states/eV/cell. The crystal system is tetragonal. The calculated volume comes out at 157 Å³/cell.